(P)
Sn2IrAu | PBE-GGA | optimized geometry

The space group is Fm-3m (No. 225) and the conventional cell measures 6.8115, 6.8115 and 6.8115 Å, with angles of 90.00, 90.00 and 90.00 degrees. The inequivalent atoms are Sn at (0.2500, 0.2500, 0.2500), Ir at (0.0000, 0.0000, 0.0000) and Au at (0.0000, 0.0000, 0.5000).

(Q)
Sn2IrAu | PBE-GGA | optimized geometry

The space group is I-42d (No. 122) and the conventional cell measures 6.0965, 6.0965 and 12.3061 Å, with angles of 90.00, 90.00 and 90.00 degrees. The inequivalent atoms are Sn at (0.2253, 0.2500, 0.1250), Ir at (0.0000, 0.0000, 0.0000) and Au at (0.0000, 0.0000, 0.5000).

The least stable of them is (Q).

(P)
Sr4IrAu | PBE-GGA | optimized geometry

The space group is P4/mmm (No. 123) and the conventional cell measures 5.2559, 5.2559 and 7.5087 Å, with angles of 90.00, 90.00 and 90.00 degrees. The inequivalent atoms are Sr at (0.0000, 0.5000, 0.2359), Ir at (0.0000, 0.0000, 0.0000) and Au at (0.5000, 0.5000, 0.5000).

(Q)
Sr4IrAu | PBE-GGA | optimized geometry

The space group is F-43m (No. 216) and the conventional cell measures 9.0776, 9.0776 and 9.0776 Å, with angles of 90.00, 90.00 and 90.00 degrees. The inequivalent atoms are Sr at (0.1242, 0.1242, 0.3758), Ir at (0.2500, 0.2500, 0.7500) and Au at (0.0000, 0.0000, 0.0000).

The least stable of them is (Q).

(P)
Sr3IrAu | PBE-GGA | optimized geometry

The space group is P-1 (No. 2) and the conventional cell measures 4.4819, 8.8298 and 8.8432 Å, with angles of 86.97, 89.99 and 75.40 degrees. The inequivalent atoms are Sr at (0.0624, 0.3766, 0.1847), Sr at (0.2390, 0.0222, 0.8133), Sr at (0.3949, 0.7077, 0.4300), Ir at (0.2272, 0.0458, 0.4641) and Au at (0.4005, 0.6982, 0.0678).

(Q)
Sr3IrAu | PBE-GGA | optimized geometry

The space group is Pm-3m (No. 221) and the conventional cell measures 5.7198, 5.7198 and 5.7198 Å, with angles of 90.00, 90.00 and 90.00 degrees. The inequivalent atoms are Sr at (0.0000, 0.0000, 0.5000), Ir at (0.0000, 0.0000, 0.0000) and Au at (0.5000, 0.5000, 0.5000).

The least stable of them is (Q).

(P)
SrIr3Au | PBE-GGA | optimized geometry

The space group is Pm-3m (No. 221) and the conventional cell measures 4.9266, 4.9266 and 4.9266 Å, with angles of 90.00, 90.00 and 90.00 degrees. The inequivalent atoms are Sr at (0.0000, 0.0000, 0.0000), Ir at (0.0000, 0.0000, 0.5000) and Au at (0.5000, 0.5000, 0.5000).

(Q)
SrIr3Au | PBE-GGA | optimized geometry

The space group is Pm-3m (No. 221) and the conventional cell measures 4.9702, 4.9702 and 4.9702 Å, with angles of 90.00, 90.00 and 90.00 degrees. The inequivalent atoms are Sr at (0.0000, 0.0000, 0.0000), Ir at (0.0000, 0.5000, 0.5000) and Au at (0.5000, 0.5000, 0.5000).

The least stable of them is (P).

(P)
SrIrAu | PBE-GGA | optimized geometry

The space group is P-6m2 (No. 187) and the conventional cell measures 4.4509, 4.4509 and 4.3272 Å, with angles of 90.00, 90.00 and 120.00 degrees. The inequivalent atoms are Sr at (0.0000, 0.0000, 0.0000), Ir at (0.3333, 0.6667, 0.5000) and Au at (0.6667, 0.3333, 0.5000).

(Q)
SrIrAu | PBE-GGA | optimized geometry

The space group is F-43m (No. 216) and the conventional cell measures 6.8304, 6.8304 and 6.8304 Å, with angles of 90.00, 90.00 and 90.00 degrees. The inequivalent atoms are Sr at (0.0000, 0.0000, 0.0000), Ir at (0.2500, 0.2500, 0.2500) and Au at (0.2500, 0.2500, 0.7500).

The least stable of them is (Q).

(P)
SrIrAu | PBE-GGA | optimized geometry

The space group is P3m1 (No. 156) and the conventional cell measures 3.2005, 3.2005 and 7.1733 Å, with angles of 90.00, 90.00 and 120.00 degrees. The inequivalent atoms are Sr at (0.0000, 0.0000, 0.0000), Ir at (0.3333, 0.6667, 0.6782) and Au at (0.6667, 0.3333, 0.3684).

(Q)
SrIrAu | PBE-GGA | optimized geometry

The space group is I4mm (No. 107) and the conventional cell measures 3.6660, 3.6660 and 10.4605 Å, with angles of 90.00, 90.00 and 90.00 degrees. The inequivalent atoms are Sr at (0.0000, 0.0000, 0.0000), Ir at (0.0000, 0.0000, 0.7130) and Au at (0.0000, 0.0000, 0.2856).

The least stable of them is (P).